[1]
First-principles (GGA-PBE) data for a geometry-optimized SiAsP2Cl structure, as listed in the Alexandria database.

abc: 4.649 4.649 4.416
angles: 90.00 90.00 90.00
Space group P4/mmm (No. 123)
Symmetry-distinct sites (fractional):
Si 0.000 0.000 0.000 (multiplicity 1)
As 0.500 0.500 0.500 (multiplicity 1)
P 0.000 0.500 0.000 (multiplicity 2)
Cl 0.000 0.000 0.500 (multiplicity 1)

Results
Formation energy without anion corrections: 3.0 eV/f.u.

[2]
First-principles (GGA-PBE) data for a geometry-optimized Co3HgIr structure, as listed in the Alexandria database.

abc: 4.588 4.588 4.588
angles: 90.00 90.00 90.00
Space group Pm-3m (No. 221)
Symmetry-distinct sites (fractional):
Co 0.000 0.000 0.500 (multiplicity 3)
Hg 0.500 0.500 0.500 (multiplicity 1)
Ir 0.000 0.000 0.000 (multiplicity 1)

Results
ΔH_f (0 K): 1.234 eV per atom

[3]
First-principles (GGA-PBE) data for a geometry-optimized CeNdTm structure, as listed in the Alexandria database.

abc: 3.549 3.549 14.899
angles: 90.00 90.00 90.00
Space group I4mm (No. 107)
Symmetry-distinct sites (fractional):
Ce 0.000 0.000 0.000 (multiplicity 2)
Nd 0.000 0.000 0.664 (multiplicity 2)
Tm 0.000 0.000 0.343 (multiplicity 2)

Results
ΔH_f (0 K): 0.079 eV per atom

[4]
First-principles (GGA-PBE) data for a geometry-optimized BaMg6Zr structure, as listed in the Alexandria database.

abc: 6.799 6.799 4.678
angles: 90.00 90.00 90.00
Space group P4/mmm (No. 123)
Symmetry-distinct sites (fractional):
Ba 0.000 0.000 0.000 (multiplicity 1)
Mg 0.000 0.500 0.000 (multiplicity 2)
Mg 0.277 0.277 0.500 (multiplicity 4)
Zr 0.500 0.500 0.000 (multiplicity 1)

Results
ΔH_f (0 K): 0.103 eV per atom

[5]
First-principles (GGA-PBE) data for a geometry-optimized CeTmTh14 structure, as listed in the Alexandria database.

abc: 11.556 7.158 12.377
angles: 90.00 90.00 90.00
Space group Amm2 (No. 38)
Symmetry-distinct sites (fractional):
Ce 0.000 0.000 0.000 (multiplicity 2)
Tm 0.000 0.000 0.503 (multiplicity 2)
Th 0.000 0.247 0.755 (multiplicity 4)
Th 0.248 0.250 0.086 (multiplicity 8)
Th 0.249 0.000 0.337 (multiplicity 4)
Th 0.250 0.000 0.836 (multiplicity 4)
Th 0.500 0.000 0.169 (multiplicity 2)
Th 0.500 0.000 0.669 (multiplicity 2)
Th 0.500 0.250 0.419 (multiplicity 4)

Results
ΔH_f (0 K): 0.034 eV per atom

[6]
First-principles (GGA-PBE) data for a geometry-optimized SnSb2TeO structure, as listed in the Alexandria database.

abc: 5.669 5.669 5.595
angles: 90.00 90.00 90.00
Space group P4/mmm (No. 123)
Symmetry-distinct sites (fractional):
Sn 0.000 0.000 0.000 (multiplicity 1)
Sb 0.000 0.500 0.000 (multiplicity 2)
Te 0.000 0.000 0.500 (multiplicity 1)
O 0.500 0.500 0.500 (multiplicity 1)

Results
Formation energy without anion corrections: 6.2 eV/f.u.

[7]
First-principles (GGA-PBE) data for a geometry-optimized AcInGa2 structure, as listed in the Alexandria database.

abc: 15.158 4.546 11.846
angles: 90.00 90.00 90.00
Space group Pnma (No. 62)
Symmetry-distinct sites (fractional):
Ac 0.052 0.250 0.246 (multiplicity 4)
Ac 0.197 0.750 0.978 (multiplicity 4)
In 0.059 0.250 0.561 (multiplicity 4)
In 0.205 0.750 0.679 (multiplicity 4)
Ga 0.035 0.250 0.974 (multiplicity 4)
Ga 0.115 0.250 0.787 (multiplicity 4)
Ga 0.133 0.750 0.457 (multiplicity 4)
Ga 0.208 0.750 0.265 (multiplicity 4)

Results
ΔH_f (0 K): -0.501 eV per atom

[8]
First-principles (GGA-PBE) data for a geometry-optimized Pr8TlSn5 structure, as listed in the Alexandria database.

abc: 9.674 9.674 9.709
angles: 90.00 90.00 90.00
Space group I-4 (No. 82)
Symmetry-distinct sites (fractional):
Pr 0.069 0.177 0.303 (multiplicity 8)
Pr 0.073 0.318 0.941 (multiplicity 8)
Tl 0.000 0.500 0.250 (multiplicity 2)
Sn 0.000 0.000 0.000 (multiplicity 2)
Sn 0.125 0.252 0.623 (multiplicity 8)

Results
ΔH_f (0 K): -0.664 eV per atom

[9]
First-principles (GGA-PBE) data for a geometry-optimized PmTmRuPb structure, as listed in the Alexandria database.

abc: 3.428 3.428 8.414
angles: 90.00 90.00 90.00
Space group P4mm (No. 99)
Symmetry-distinct sites (fractional):
Pm 0.000 0.000 0.000 (multiplicity 1)
Tm 0.000 0.000 0.599 (multiplicity 1)
Ru 0.500 0.500 0.787 (multiplicity 1)
Pb 0.500 0.500 0.310 (multiplicity 1)

Results
ΔH_f (0 K): -0.441 eV per atom

Which VASP energy belongs to each record? In order, -3.941 -4.862 -4.979 -2.402 -7.109 -2.831 -3.726 -4.993 -5.992 eV/atom.